Entry 1:
# LiCaHg (GGA-PBE, relaxed)
data_LiCaHg
_chemical_formula_sum 'Li4 Ca4 Hg4'
_cell_length_a 9.273
_cell_length_b 7.860
_cell_length_c 4.760
_cell_angle_alpha 90.00
_cell_angle_beta 120.03
_cell_angle_gamma 90.00
_space_group_name_H-M_alt 'C 1 m 1'
_space_group_IT_number 8
loop_
_space_group_symop_operation_xyz
'x,y,z'
'x,-y,z'
'x+1/2,y+1/2,z'
'x+1/2,-y+1/2,z'
loop_
_atom_site_label
_atom_site_fract_x
_atom_site_fract_y
_atom_site_fract_z
Li1 0.000 0.193 0.000
Ca1 0.285 0.500 0.285
Ca2 0.381 0.000 0.380
Hg1 0.171 0.210 0.668
# - energy relative to the elements (eV per atom) = -0.367
# - distance to the lowest polymorph of the same formula (eV per formula unit) = 0.11

Entry 2:
# Ag5Au2F12 (GGA-PBE, relaxed)
data_Ag5Au2F12
_chemical_formula_sum 'Ag10 Au4 F24'
_cell_length_a 12.251
_cell_length_b 6.401
_cell_length_c 8.267
_cell_angle_alpha 90.00
_cell_angle_beta 107.48
_cell_angle_gamma 90.00
_space_group_name_H-M_alt 'C 1 2/m 1'
_space_group_IT_number 12
loop_
_space_group_symop_operation_xyz
'x,y,z'
'-x,-y,-z'
'-x,y,-z'
'x,-y,z'
'x+1/2,y+1/2,z'
'-x+1/2,-y+1/2,-z'
'-x+1/2,y+1/2,-z'
'x+1/2,-y+1/2,z'
loop_
_atom_site_label
_atom_site_fract_x
_atom_site_fract_y
_atom_site_fract_z
Ag1 0.000 0.000 0.000
Ag2 0.183 0.500 0.243
Ag3 0.188 0.500 0.865
Au1 0.000 0.213 0.500
F1 0.018 0.500 0.331
F2 0.026 0.000 0.257
F3 0.136 0.240 0.032
F4 0.167 0.228 0.634
# - calculated total energy (eV/atom) = -3.27

Entry 3:
# Y2GaBi2 (GGA-PBE, relaxed)
data_Y2GaBi2
_chemical_formula_sum 'Y4 Ga2 Bi4'
_cell_length_a 8.386
_cell_length_b 8.386
_cell_length_c 4.173
_cell_angle_alpha 90.00
_cell_angle_beta 90.00
_cell_angle_gamma 90.00
_space_group_name_H-M_alt 'P 4/m b m'
_space_group_IT_number 127
_space_group_name_Hall '-P 4 2ab'
loop_
_atom_site_label
_atom_site_fract_x
_atom_site_fract_y
_atom_site_fract_z
Y1 0.156 0.344 0.000
Ga1 0.000 0.000 0.500
Bi1 0.149 0.649 0.500
# - energy relative to the elements (eV per atom) = -0.501
# - distance to the lowest polymorph of the same formula (eV per formula unit) = 0.03